[1]
Computed, not measured: a relaxed SbCl3 crystal at the PBE level of DFT.

Results
Fermi-level density of states = 0.031 states/eV/atom
Formation energy (no corrections) = -17.737 kcal/mol of atoms
Spin magnetization = 0.000 Bohr magnetons per cell

Structure (POSCAR):
```
SbCl3
1.0
5.291 0.000 0.000
0.000 5.291 0.000
0.000 0.000 5.291
Sb Cl
1 3
direct
0.000 0.000 0.000
0.000 0.000 0.500
0.000 0.500 0.000
0.500 0.000 0.000
```

---

[2]
Computed, not measured: a relaxed SbCl3 crystal at the PBE level of DFT.

Results
Formation energy (no corrections) = -2.925 kcal/mol of atoms
Spin magnetization = 0.000 Bohr magnetons per cell

Structure (POSCAR):
```
SbCl3
1.0
3.728 0.000 0.000
0.000 3.728 0.000
0.000 0.000 6.290
Sb Cl
1 3
direct
0.000 0.000 0.000
0.000 0.000 0.500
0.500 0.500 0.232
0.500 0.500 0.768
```

---

[3]
Computed, not measured: a relaxed Sb5Cl crystal at the PBE level of DFT.

Results
E above lowest polymorph = 49 kJ/mol of formula units
Fermi-level density of states = 0.492 states/eV/atom
Formation energy (no corrections) = 2.090 kcal/mol of atoms
Spin magnetization = 0.000 Bohr magnetons per cell

Structure (POSCAR):
```
Sb5Cl
1.0
3.787 0.000 0.000
0.000 3.787 0.000
0.000 0.000 11.409
Sb Cl
5 1
direct
0.000 0.000 0.000
0.000 0.000 0.315
0.000 0.000 0.685
0.500 0.500 0.178
0.500 0.500 0.822
0.500 0.500 0.500
```

---

[4]
Computed, not measured: a relaxed SbCl3 crystal at the PBE level of DFT.

Results
Fermi-level density of states = 0.449 states/eV/atom
Formation energy (no corrections) = -8.845 kcal/mol of atoms
Spin magnetization = 0.260 Bohr magnetons per cell

Structure (POSCAR):
```
SbCl3
1.0
3.423 -8.628 0.000
3.423 8.628 0.000
0.000 0.000 5.096
Sb Cl
2 6
direct
0.061 0.939 0.750
0.939 0.061 0.250
0.087 0.401 0.250
0.401 0.087 0.750
0.487 0.513 0.750
0.513 0.487 0.250
0.599 0.913 0.250
0.913 0.599 0.750
```

---

[5]
Computed, not measured: a relaxed Sb3Cl4 crystal at the PBE level of DFT.

Results
E above lowest polymorph = 99 kJ/mol of formula units
Fermi-level density of states = 0.712 states/eV/atom
Formation energy (no corrections) = -0.256 kcal/mol of atoms
Spin magnetization = 0.000 Bohr magnetons per cell

Structure (POSCAR):
```
Sb3Cl4
1.0
6.323 0.000 0.000
-3.162 5.476 0.000
0.000 0.000 5.141
Sb Cl
3 4
direct
0.000 0.500 0.000
0.500 0.000 0.000
0.500 0.500 0.000
0.000 0.000 0.258
0.000 0.000 0.742
0.333 0.667 0.500
0.667 0.333 0.500
```

---

[6]
Computed, not measured: a relaxed SbCl3 crystal at the PBE level of DFT.

Results
Fermi-level density of states = 0.967 states/eV/atom
Formation energy (no corrections) = 0.420 kcal/mol of atoms
Spin magnetization = 0.001 Bohr magnetons per cell

Structure (POSCAR):
```
SbCl3
1.0
4.639 2.678 1.239
-4.639 2.678 1.239
0.000 -5.356 1.239
Sb Cl
1 3
direct
0.000 0.000 0.000
0.000 0.500 0.500
0.500 0.000 0.500
0.500 0.500 0.000
```

---

[7]
Computed, not measured: a relaxed Sb3Cl2 crystal at the PBE level of DFT.

Results
E above lowest polymorph = 0 kJ/mol of formula units
Fermi-level density of states = 0.243 states/eV/atom
Formation energy (no corrections) = -4.567 kcal/mol of atoms
Spin magnetization = 0.000 Bohr magnetons per cell

Structure (POSCAR):
```
Sb3Cl2
1.0
0.000 9.556 1.560
9.378 0.000 1.560
9.378 9.556 0.000
Sb Cl
6 4
direct
0.000 0.000 0.000
0.085 0.158 0.633
0.126 0.617 0.092
0.158 0.085 0.124
0.250 0.250 0.250
0.617 0.126 0.165
0.129 0.633 0.265
0.277 0.985 0.617
0.633 0.129 0.973
0.985 0.277 0.121
```

---

[8]
Computed, not measured: a relaxed SbCl3 crystal at the PBE level of DFT.

Results
Formation energy (no corrections) = -13.482 kcal/mol of atoms
Spin magnetization = 0.000 Bohr magnetons per cell

Structure (POSCAR):
```
SbCl3
1.0
-1.770 2.527 7.083
1.770 -2.527 7.083
1.770 2.527 -7.083
Sb Cl
1 3
direct
0.000 0.000 0.000
0.144 0.644 0.500
0.500 0.500 0.000
0.856 0.356 0.500
```

---

[9]
Computed, not measured: a relaxed SbCl3 crystal at the PBE level of DFT.

Results
Fermi-level density of states = 2.092 states/eV/atom
Formation energy (no corrections) = -2.362 kcal/mol of atoms
Spin magnetization = 0.414 Bohr magnetons per cell

Structure (POSCAR):
```
SbCl3
1.0
2.135 1.233 9.052
-2.135 1.233 9.052
0.000 -2.465 9.052
Sb Cl
1 3
direct
0.000 0.000 0.000
0.382 0.382 0.382
0.500 0.500 0.500
0.618 0.618 0.618
```

---

[10]
Computed, not measured: a relaxed SbCl3 crystal at the PBE level of DFT.

Results
Fermi-level density of states = 0.688 states/eV/atom
Formation energy (no corrections) = -2.837 kcal/mol of atoms
Spin magnetization = 0.846 Bohr magnetons per cell

Structure (POSCAR):
```
SbCl3
1.0
1.841 -3.092 0.000
1.841 3.092 0.000
0.000 0.000 10.480
Sb Cl
1 3
direct
0.000 0.000 0.000
0.000 0.000 0.500
0.500 0.500 0.186
0.500 0.500 0.814
```

---

[11]
Computed, not measured: a relaxed SbCl3 crystal at the PBE level of DFT.

Results
Fermi-level density of states = 0.564 states/eV/atom
Formation energy (no corrections) = -1.140 kcal/mol of atoms
Spin magnetization = 0.000 Bohr magnetons per cell

Structure (POSCAR):
```
SbCl3
1.0
4.413 0.000 0.000
0.000 4.413 0.000
0.000 0.000 4.413
Sb Cl
1 3
direct
0.000 0.000 0.000
0.000 0.500 0.500
0.500 0.000 0.500
0.500 0.500 0.000
```

---

[12]
Computed, not measured: a relaxed SbCl3 crystal at the PBE level of DFT.

Results
Fermi-level density of states = 0.005 states/eV/atom
Formation energy (no corrections) = -2.877 kcal/mol of atoms
Spin magnetization = 0.000 Bohr magnetons per cell

Structure (POSCAR):
```
SbCl3
1.0
4.209 0.000 0.000
-2.104 3.645 0.000
0.000 0.000 6.793
Sb Cl
1 3
direct
0.000 0.000 0.000
0.000 0.000 0.500
0.333 0.667 0.223
0.333 0.667 0.777
```